Material: CaIO2
Method: DFT, PBE
State: relaxed

Unit cell a=6.3728 b=6.3728 c=6.3728 alpha=90.00 beta=90.00 gamma=90.00
Closest atoms and distances in Å follow each position.
Space group Fm-3m (No. 225)
Unique sites:
Ca  0.0000  0.0000  0.0000 [4 per cell]  8 O 2.76
I  0.0000  0.0000  0.5000 [4 per cell]  8 O 2.76
O  0.2500  0.2500  0.2500 [8 per cell]  4 I 2.76, 4 Ca 2.76

Results
- Crystal system: cubic
- E_tot: -3.97 eV/atom
- Formation energy without anion corrections: -0.60 eV/atom
- Calculated volume: 258.8 Å³/cell



Material: CaIO
Method: DFT, PBE
State: relaxed

Unit cell a=7.2046 b=3.8712 c=10.3484 alpha=90.00 beta=93.78 gamma=90.00
Closest atoms and distances in Å follow each position.
Space group C2/m (No. 12)
Unique sites:
Ca  0.1478  0.0000  0.3807 [4 per cell]  4 O 2.32-2.33
I  0.0603  0.5000  0.8747 [4 per cell]  1 I 2.79
O  0.1728  0.0000  0.6051 [4 per cell]  4 Ca 2.32-2.33

Results
- Crystal system: monoclinic
- E_tot: -4.55 eV/atom
- Formation energy without anion corrections: -1.71 eV/atom
- Calculated volume: 288.0 Å³/cell



Material: Ca3IO6
Method: DFT, PBE
State: relaxed

Unit cell a=9.5746 b=9.5746 c=11.3913 alpha=90.00 beta=90.00 gamma=120.00
Closest atoms and distances in Å follow each position.
Space group R-3 (No. 148, hexagonal axes)
Unique sites:
Ca  0.0353  0.7762  0.2093 [18 per cell]  5 O 2.27-2.45
I  0.0000  0.0000  0.0000 [3 per cell]  6 O 2.12
I  0.0000  0.0000  0.5000 [3 per cell]  6 O 1.92
O  0.0241  0.8396  0.8850 [18 per cell]  1 I 2.12, 3 Ca 2.27-2.35
O  0.0327  0.8515  0.4070 [18 per cell]  1 I 1.92

Results
- Crystal system: trigonal
- E_tot: -5.78 eV/atom
- Formation energy without anion corrections: -2.05 eV/atom
- Calculated volume: 904.4 Å³/cell